Record 1
Below is a relaxed structure of La8Co3Cl4F, with properties calculated at the PBE+U level.

abc: 7.9575 8.8237 8.0144
angles: 116.78 119.77 90.00
Closest atoms and distances in Å follow each position.
Atoms (fractional coordinates):
La (0.2650, 0.3023, 0.5300)  3 Co 2.72-2.79
Co (0.0000, 0.5000, 0.5000)  6 La 2.72-2.82
La (0.2645, 0.2906, 0.0259)  2 Co 2.77-2.82, 1 F 2.79
La (0.7350, 0.6977, 0.4700)  3 Co 2.72-2.79
Cl (0.5000, 0.0000, 0.5000)  6 La 3.20-3.25
Co (0.5000, 0.5000, 0.5000)  6 La 2.72-2.82
La (0.7616, 0.2926, 0.5233)  2 Co 2.76, 1 F 2.84
La (0.7355, 0.7094, 0.9741)  2 Co 2.77-2.82, 1 F 2.79
Cl (0.5000, 0.0000, 0.0000)  6 La 3.17-3.19
Cl (0.0000, 0.0000, 0.5000)  6 La 3.20-3.25
La (0.7614, 0.2906, 0.0259)  2 Co 2.77-2.82, 1 F 2.79
Cl (0.0000, 0.0000, 0.0000)  6 La 3.18-3.24
La (0.2386, 0.7094, 0.9741)  2 Co 2.77-2.82, 1 F 2.79
F (0.0000, 0.5000, 0.0000)  6 La 2.79-2.84
Co (0.5000, 0.5000, 0.0000)  6 La 2.77-2.79
La (0.2384, 0.7074, 0.4767)  2 Co 2.76, 1 F 2.84

Summary:
The crystal system is monoclinic. The total DFT energy (no corrections) is -80.0 eV for the cell shown.

Record 2
Below is a relaxed structure of LiCoCl2F, with properties calculated at the PBE+U level.

abc: 4.9340 4.9340 3.8342
angles: 90.00 90.00 90.00
Closest atoms and distances in Å follow each position.
Atoms (fractional coordinates):
Cl (0.5000, 0.0000, 0.0000)  2 Co 2.47
Li (0.5000, 0.5000, 0.5000)  8 Cl 3.12, 4 F 3.49
F (0.0000, 0.0000, 0.5000)  2 Co 1.92
Co (0.0000, 0.0000, 0.0000)  2 F 1.92
Cl (0.0000, 0.5000, 0.0000)  2 Co 2.47

Summary:
The crystal system is tetragonal. The total DFT energy (no corrections) is -19.1 eV for the cell shown.

Record 3
Below is a relaxed structure of CoNClF2, with properties calculated at the PBE+U level.

abc: 4.7842 4.7842 3.3195
angles: 90.00 90.00 90.00
Closest atoms and distances in Å follow each position.
Atoms (fractional coordinates):
N (0.0000, 0.0000, 0.5000)  2 Cl 1.66
Cl (0.0000, 0.0000, 0.0000)  2 N 1.66
Co (0.5000, 0.5000, 0.5000)  8 F 2.91
F (0.5000, 0.0000, 0.0000)  2 Cl 2.39
F (0.0000, 0.5000, 0.0000)  2 Cl 2.39

Summary:
The crystal system is tetragonal. The total DFT energy (no corrections) is -15.4 eV for the cell shown.

Record 4
Below is a relaxed structure of CoNClF2, with properties calculated at the PBE+U level.

abc: 3.8287 3.8287 4.1606
angles: 90.00 90.00 90.00
Closest atoms and distances in Å follow each position.
Atoms (fractional coordinates):
Co (0.0000, 0.0000, 0.0000)  4 F 1.91, 2 N 2.08
F (0.0000, 0.5000, 0.0000)  2 Co 1.91
N (0.0000, 0.0000, 0.5000)  2 Co 2.08
Cl (0.5000, 0.5000, 0.5000)  4 N 2.71, 8 F 2.83
F (0.5000, 0.0000, 0.0000)  2 Co 1.91

Summary:
The crystal system is tetragonal. The total DFT energy (no corrections) is -19.1 eV for the cell shown.

Record 5
Below is a relaxed structure of NaCoCl2F, with properties calculated at the PBE+U level.

abc: 4.9754 4.9754 3.8724
angles: 90.00 90.00 90.00
Closest atoms and distances in Å follow each position.
Atoms (fractional coordinates):
Na (0.5000, 0.5000, 0.5000)  8 Cl 3.15, 4 F 3.52
Cl (0.0000, 0.5000, 0.0000)  2 Co 2.49
Cl (0.5000, 0.0000, 0.0000)  2 Co 2.49
Co (0.0000, 0.0000, 0.0000)  2 F 1.94
F (0.0000, 0.0000, 0.5000)  2 Co 1.94

Summary:
The crystal system is tetragonal. The total DFT energy (no corrections) is -19.0 eV for the cell shown.

Record 6
Below is a relaxed structure of NaCoClF2, with properties calculated at the PBE+U level.

abc: 5.5872 5.5872 6.6311
angles: 114.92 114.92 90.00
Closest atoms and distances in Å follow each position.
Atoms (fractional coordinates):
Co (0.0050, 0.0050, 0.0100)  4 F 2.01
F (0.7260, 0.7127, 0.9387)  2 Co 2.01
Cl (0.7283, 0.7283, 0.4565)  1 Co 2.38
F (0.2260, 0.7260, 0.9387)  2 Co 2.01
F (0.7127, 0.2127, 0.9387)  2 Co 2.01
Na (0.3282, 0.8282, 0.6565)  4 F 2.44-2.52
F (0.2127, 0.2260, 0.9387)  2 Co 2.01
Cl (0.2283, 0.2283, 0.4565)  1 Co 2.38
Co (0.5050, 0.5050, 0.0100)  4 F 2.01
Na (0.8282, 0.3282, 0.6565)  4 F 2.44-2.52

Summary:
The crystal system is tetragonal. The total DFT energy (no corrections) is -43.6 eV for the cell shown.

Record 7
Below is a relaxed structure of NaCoClF2, with properties calculated at the PBE+U level.

abc: 4.0095 4.0095 5.0631
angles: 90.00 90.00 90.00
Closest atoms and distances in Å follow each position.
Atoms (fractional coordinates):
Na (0.5000, 0.5000, 0.5000)  4 Cl 2.84
F (0.5000, 0.0000, 0.0000)  2 Co 2.00
F (0.0000, 0.5000, 0.0000)  2 Co 2.00
Cl (0.0000, 0.0000, 0.5000)  2 Co 2.53, 4 Na 2.84
Co (0.0000, 0.0000, 0.0000)  4 F 2.00

Summary:
The crystal system is tetragonal. The total DFT energy (no corrections) is -21.6 eV for the cell shown.

Record 8
Below is a relaxed structure of Na2CoCl2F2, with properties calculated at the PBE+U level.

abc: 3.6888 6.6194 6.2867
angles: 60.00 72.94 73.82
Closest atoms and distances in Å follow each position.
Atoms (fractional coordinates):
Co (0.0000, 0.0000, 0.0000)  2 F 1.99
F (0.8324, 0.2922, 0.0431)  1 Co 1.99
Na (0.2137, 0.3201, 0.2526)  3 F 2.29
Cl (0.5764, 0.1663, 0.6810)  2 Co 2.52
Cl (0.4236, 0.8337, 0.3190)  2 Co 2.52
F (0.1676, 0.7078, 0.9569)  1 Co 1.99
Na (0.7863, 0.6799, 0.7474)  3 F 2.29

Summary:
The crystal system is monoclinic. The total DFT energy (no corrections) is -28.8 eV for the cell shown.

Record 9
Below is a relaxed structure of CoOsCl2F, with properties calculated at the PBE+U level.

abc: 4.4903 5.0012 4.4903
angles: 90.00 90.00 90.00
Closest atoms and distances in Å follow each position.
Atoms (fractional coordinates):
Co (0.0000, 0.0000, 0.0000)  4 Cl 2.25, 2 Os 2.50
Cl (0.0000, 0.0000, 0.5000)  2 Co 2.25
Os (0.0000, 0.5000, 0.0000)  2 Co 2.50
Cl (0.5000, 0.0000, 0.0000)  2 Co 2.25
F (0.5000, 0.5000, 0.5000)  4 Os 3.18, 8 Cl 3.36

Summary:
The crystal system is tetragonal. The total DFT energy (no corrections) is -17.9 eV for the cell shown.

Record 10
Below is a relaxed structure of CoOsCl2F, with properties calculated at the PBE+U level.

abc: 5.2074 3.8574 5.2074
angles: 90.00 90.00 90.00
Closest atoms and distances in Å follow each position.
Atoms (fractional coordinates):
Co (0.5000, 0.5000, 0.5000)  8 Cl 3.24
Cl (0.0000, 0.0000, 0.5000)  2 F 2.60
F (0.0000, 0.0000, 0.0000)  2 Os 1.93
Cl (0.5000, 0.0000, 0.0000)  2 F 2.60
Os (0.0000, 0.5000, 0.0000)  2 F 1.93

Summary:
The crystal system is tetragonal. The total DFT energy (no corrections) is -16.5 eV for the cell shown.

Record 11
Below is a relaxed structure of Pm6Co2Cl3F, with properties calculated at the PBE+U level.

abc: 3.7920 8.6197 9.6856
angles: 111.94 101.29 90.00
Closest atoms and distances in Å follow each position.
Atoms (fractional coordinates):
Co (0.1568, 0.3126, 0.3137)  6 Pm 2.64-2.91
Pm (0.9927, 0.7796, 0.9854)  1 Co 2.64, 2 F 2.65
Pm (0.3223, 0.4548, 0.6446)  3 Co 2.68-2.91
Cl (0.1772, 0.8285, 0.3544)  6 Pm 3.02-3.37
Pm (0.6539, 0.0976, 0.3079)  2 Co 2.64, 1 F 2.72
Co (0.8432, 0.6874, 0.6863)  6 Pm 2.64-2.91
Cl (0.8228, 0.1715, 0.6456)  6 Pm 3.02-3.37
Pm (0.0073, 0.2204, 0.0146)  1 Co 2.64, 2 F 2.65
F (0.5000, 0.0000, 0.0000)  6 Pm 2.65-2.72
Cl (0.5000, 0.5000, 0.0000)  6 Pm 3.11-3.25
Pm (0.3461, 0.9024, 0.6921)  2 Co 2.64, 1 F 2.72
Pm (0.6777, 0.5452, 0.3554)  3 Co 2.68-2.91

Summary:
The crystal system is monoclinic. The total DFT energy (no corrections) is -58.0 eV for the cell shown.

Record 12
Below is a relaxed structure of RbCoClF2, with properties calculated at the PBE+U level.

abc: 4.4094 7.4045 7.9812
angles: 104.71 90.00 90.00
Closest atoms and distances in Å follow each position.
Atoms (fractional coordinates):
F (0.7500, 0.9710, 0.8970)  1 Co 1.96
F (0.2500, 0.0436, 0.6746)  1 Co 1.90
F (0.7500, 0.9564, 0.3254)  1 Co 1.90
Co (0.7500, 0.0848, 0.1466)  2 F 1.90-1.96
Co (0.2500, 0.9152, 0.8534)  2 F 1.90-1.96
Cl (0.2500, 0.6027, 0.7504)  1 Co 2.25
F (0.2500, 0.0290, 0.1030)  1 Co 1.96
Rb (0.7500, 0.2558, 0.6440)  3 F 2.75-2.92
Rb (0.2500, 0.7442, 0.3560)  3 F 2.75-2.92
Cl (0.7500, 0.3973, 0.2496)  1 Co 2.25

Summary:
The crystal system is monoclinic. The total DFT energy (no corrections) is -43.3 eV for the cell shown.

Q: What is the formula in the second record?
A: LiCoCl2F

Q: What is the total DFT energy (no corrections) in the ninth record?
A: -17.9 eV for the cell shown

Q: Among the records above, which one has the lowest total DFT energy (no corrections)?
A: La8Co3Cl4F

Q: total DFT energy (no corrections) of number 4 (CoNClF2)?
A: -19.1 eV for the cell shown